Na3HfOs after structural relaxation. Source: Alexandria via LeMat-Bulk, functional PBE-GGA.

```
Na3HfOs
1.0
-2.9182 4.9840 -0.5246
-0.2315 -0.7405 -5.7471
-5.0062 -2.8710 0.5715
Na Hf Os
3 1 1
direct
0.5000 0.0000 0.0000
0.0000 0.5000 0.0000
0.0000 0.0000 0.5000
0.0000 0.0000 0.0000
0.5000 0.5000 0.5000
```

Values from the calculation:
The energy relative to the lowest polymorph listed for this composition comes out at 527 meV per atom. For the energy, the calculation gives -12.6 eV/cell. The value obtained for the formation energy from the elements is 2.505 eV per atom.


Na2HfOs after structural relaxation. Source: Alexandria via LeMat-Bulk, functional PBE-GGA.

```
Na2HfOs
1.0
3.7962 0.0000 0.0000
0.0000 3.7962 0.0000
1.8981 1.8981 11.6346
Na Os Hf
4 2 2
direct
0.1070 0.6250 0.2500
0.8750 0.8930 0.7500
0.6430 0.1250 0.2500
0.3750 0.3570 0.7500
0.0000 0.0000 0.0000
0.7500 0.2500 0.5000
0.2500 0.7500 0.5000
0.5000 0.5000 0.0000
```

Values from the calculation:
The energy relative to the lowest polymorph listed for this composition comes out at 0 meV per atom. For the energy, the calculation gives -43.2 eV/cell. The value obtained for the formation energy from the elements is 0.559 eV per atom.


NaHfOs3 after structural relaxation. Source: Alexandria via LeMat-Bulk, functional PBE-GGA.

```
NaHfOs3
1.0
-1.0202 4.7748 -0.3111
-0.9361 -0.5112 -4.7748
-4.6924 -0.9361 1.0202
Os Hf Na
3 1 1
direct
0.0000 0.0000 0.5000
0.0000 0.5000 0.0000
0.5000 0.0000 0.0000
0.0000 0.0000 0.0000
0.5000 0.5000 0.5000
```

Values from the calculation:
The energy relative to the lowest polymorph listed for this composition comes out at 0 meV per atom. For the energy, the calculation gives -34.4 eV/cell. The value obtained for the formation energy from the elements is 2.108 eV per atom.


NaHf2Os2 after structural relaxation. Source: Alexandria via LeMat-Bulk, functional PBE-GGA.

```
NaHf2Os2
1.0
-1.7133 7.3409 -2.2051
0.3211 -2.1888 -7.5361
-3.0443 -0.6893 0.0705
Hf Na Os
4 2 4
direct
0.1476 0.6476 0.5000
0.8524 0.3524 0.5000
0.3524 0.1476 0.5000
0.6476 0.8524 0.5000
0.5000 0.5000 0.0000
0.0000 0.0000 0.0000
0.8581 0.6419 0.0000
0.6419 0.1419 0.0000
0.1419 0.3581 0.0000
0.3581 0.8581 0.0000
```

Values from the calculation:
For the energy, the calculation gives -87.9 eV/cell. The value obtained for the formation energy from the elements is -0.053 eV per atom.


Calculated values (g/cm³) of mass density for the records, taken in order: 3.726 8.214 10.949 13.113.